(1)
# PBE-GGA Ce2Al5Ag5, relaxed
# - ρ: 6.7 g/cm³
# - D(E_F): 1.1813 states/eV per atom
# - Energy relative to the elements: -3.47 eV per formula unit
# - Crystal system: orthorhombic
# - Uncorrected energy: -0.1479 hartree per atom
data_Ce2Al5Ag5
_cell_length_a 4.465
_cell_length_b 5.501
_cell_length_c 9.675
_cell_angle_alpha 90.00
_cell_angle_beta 90.00
_cell_angle_gamma 90.00
_space_group_name_H-M_alt 'P m m m'
_space_group_IT_number 47
loop_
_space_group_symop_operation_xyz
'x,y,z'
'-x,-y,-z'
'-x,-y,z'
'x,y,-z'
'x,-y,-z'
'-x,y,z'
'-x,y,-z'
'x,-y,z'
loop_
_atom_site_label
_atom_site_type_symbol
_atom_site_fract_x
_atom_site_fract_y
_atom_site_fract_z
_atom_site_occupancy
Ce1 Ce 0.000 0.000 0.000 1
Ce2 Ce 0.000 0.500 0.500 1
Al1 Al 0.500 0.000 0.500 1
Al2 Al 0.500 0.248 0.245 1
Ag1 Ag 0.000 0.000 0.334 1
Ag2 Ag 0.000 0.500 0.179 1
Ag3 Ag 0.500 0.500 0.000 1



(2)
# PBE-GGA Ce2AlAg, relaxed
# - ρ: 7.5 g/cm³
# - D(E_F): 1.9176 states/eV per atom
# - Energy relative to the elements: 0.72 eV per formula unit
# - Crystal system: trigonal
# - Uncorrected energy: -0.1630 hartree per atom
data_Ce2AlAg
_cell_length_a 3.0054
_cell_length_b 3.0054
_cell_length_c 35.1947
_cell_angle_alpha 90.00
_cell_angle_beta 90.00
_cell_angle_gamma 120.00
_space_group_name_H-M_alt 'R -3 m'
_space_group_IT_number 166
_space_group_name_Hall '-R 3 2"'
loop_
_atom_site_label
_atom_site_type_symbol
_atom_site_fract_x
_atom_site_fract_y
_atom_site_fract_z
_atom_site_occupancy
Ce1 Ce 0.0000 0.0000 0.0874 1
Al1 Al 0.0000 0.0000 0.0000 1
Ag1 Ag 0.0000 0.0000 0.5000 1



(3)
# PBE-GGA CeAl3Ag10, relaxed
# - ρ: 7.6 g/cm³
# - D(E_F): 0.8819 states/eV per atom
# - Energy relative to the elements: 0.89 eV per formula unit
# - Crystal system: cubic
# - Uncorrected energy: -0.1176 hartree per atom
data_CeAl3Ag10
_cell_length_a 13.127
_cell_length_b 13.127
_cell_length_c 13.127
_cell_angle_alpha 90.00
_cell_angle_beta 90.00
_cell_angle_gamma 90.00
_space_group_name_H-M_alt 'F m -3 m'
_space_group_IT_number 225
_space_group_name_Hall '-F 4 2 3'
loop_
_atom_site_label
_atom_site_type_symbol
_atom_site_fract_x
_atom_site_fract_y
_atom_site_fract_z
_atom_site_occupancy
Ce1 Ce 0.250 0.250 0.250 1
Al1 Al 0.000 0.000 0.238 1
Ag1 Ag 0.000 0.173 0.327 1
Ag2 Ag 0.115 0.115 0.115 1



(4)
# PBE-GGA Ce3Al8Ag3, relaxed
# - ρ: 5.6 g/cm³
# - D(E_F): 1.4303 states/eV per atom
# - Energy relative to the elements: -4.62 eV per formula unit
# - Crystal system: orthorhombic
# - Uncorrected energy: -0.1599 hartree per atom
data_Ce3Al8Ag3
_cell_length_a 4.529
_cell_length_b 9.523
_cell_length_c 13.193
_cell_angle_alpha 90.00
_cell_angle_beta 90.00
_cell_angle_gamma 90.00
_space_group_name_H-M_alt 'I m m m'
_space_group_IT_number 71
_space_group_name_Hall '-I 2 2'
loop_
_atom_site_label
_atom_site_type_symbol
_atom_site_fract_x
_atom_site_fract_y
_atom_site_fract_z
_atom_site_occupancy
Ce1 Ce 0.000 0.000 0.000 1
Ce2 Ce 0.000 0.000 0.291 1
Al1 Al 0.000 0.285 0.137 1
Al2 Al 0.000 0.363 0.342 1
Ag1 Ag 0.000 0.194 0.500 1
Ag2 Ag 0.000 0.500 0.000 1



(5)
# PBE-GGA Ce2Al5Ag12, relaxed
# - ρ: 7.7 g/cm³
# - D(E_F): 1.0475 states/eV per atom
# - Energy relative to the elements: -2.70 eV per formula unit
# - Crystal system: trigonal
# - Uncorrected energy: -0.1306 hartree per atom
data_Ce2Al5Ag12
_cell_length_a 9.5199
_cell_length_b 9.5199
_cell_length_c 14.0293
_cell_angle_alpha 90.00
_cell_angle_beta 90.00
_cell_angle_gamma 120.00
_space_group_name_H-M_alt 'R -3 m'
_space_group_IT_number 166
_space_group_name_Hall '-R 3 2"'
loop_
_atom_site_label
_atom_site_type_symbol
_atom_site_fract_x
_atom_site_fract_y
_atom_site_fract_z
_atom_site_occupancy
Ce1 Ce 0.0000 0.0000 0.1635 1
Al1 Al 0.0000 0.0000 0.4044 1
Al2 Al 0.0000 0.5000 0.0000 1
Ag1 Ag 0.0000 0.2985 0.5000 1
Ag2 Ag 0.0112 0.5056 0.3488 1



(6)
# PBE-GGA CeAl3Ag3, relaxed
# - ρ: 5.9 g/cm³
# - D(E_F): 1.1674 states/eV per atom
# - Energy relative to the elements: -0.23 eV per formula unit
# - Crystal system: trigonal
# - Uncorrected energy: -0.1362 hartree per atom
data_CeAl3Ag3
_cell_length_a 8.1814
_cell_length_b 8.1814
_cell_length_c 15.7981
_cell_angle_alpha 90.00
_cell_angle_beta 90.00
_cell_angle_gamma 120.00
_space_group_name_H-M_alt 'R -3'
_space_group_IT_number 148
_space_group_name_Hall '-R 3'
loop_
_atom_site_label
_atom_site_type_symbol
_atom_site_fract_x
_atom_site_fract_y
_atom_site_fract_z
_atom_site_occupancy
Ce1 Ce 0.0000 0.0000 0.1675 1
Al1 Al 0.0035 0.3446 0.7085 1
Ag1 Ag 0.0042 0.7343 0.4456 1



What did the second record say?
# PBE-GGA Ce2AlAg, relaxed
# - ρ: 7.5 g/cm³
# - D(E_F): 1.9176 states/eV per atom
# - Energy relative to the elements: 0.72 eV per formula unit
# - Crystal system: trigonal
# - Uncorrected energy: -0.1630 hartree per atom
data_Ce2AlAg
_cell_length_a 3.0054
_cell_length_b 3.0054
_cell_length_c 35.1947
_cell_angle_alpha 90.00
_cell_angle_beta 90.00
_cell_angle_gamma 120.00
_space_group_name_H-M_alt 'R -3 m'
_space_group_IT_number 166
_space_group_name_Hall '-R 3 2"'
loop_
_atom_site_label
_atom_site_type_symbol
_atom_site_fract_x
_atom_site_fract_y
_atom_site_fract_z
_atom_site_occupancy
Ce1 Ce 0.0000 0.0000 0.0874 1
Al1 Al 0.0000 0.0000 0.0000 1
Ag1 Ag 0.0000 0.0000 0.5000 1



> Which value of ρ does entry 3 give?

7.6 g/cm³



Copy entry 3 word for word.
# PBE-GGA CeAl3Ag10, relaxed
# - ρ: 7.6 g/cm³
# - D(E_F): 0.8819 states/eV per atom
# - Energy relative to the elements: 0.89 eV per formula unit
# - Crystal system: cubic
# - Uncorrected energy: -0.1176 hartree per atom
data_CeAl3Ag10
_cell_length_a 13.127
_cell_length_b 13.127
_cell_length_c 13.127
_cell_angle_alpha 90.00
_cell_angle_beta 90.00
_cell_angle_gamma 90.00
_space_group_name_H-M_alt 'F m -3 m'
_space_group_IT_number 225
_space_group_name_Hall '-F 4 2 3'
loop_
_atom_site_label
_atom_site_type_symbol
_atom_site_fract_x
_atom_site_fract_y
_atom_site_fract_z
_atom_site_occupancy
Ce1 Ce 0.250 0.250 0.250 1
Al1 Al 0.000 0.000 0.238 1
Ag1 Ag 0.000 0.173 0.327 1
Ag2 Ag 0.115 0.115 0.115 1